1.
Entry from Alexandria via LeMat-Bulk: a relaxed Tm4Th3Sn4 crystal (PBE-GGA).

Output
- ΔH_f (0 K) (kJ/mol of formula units) = -470.9

a b c (Å): 4.298 9.222 9.707
angles (deg): 118.36 102.79 90.00
Site moments in Bohr magnetons follow the coordinates.
Element x y z (fractional)
Sn 0.757 0.257 0.513  0.00
Tm 0.329 0.522 0.658  0.19
Sn 0.500 0.794 0.000  0.00
Sn 0.243 0.743 0.487  0.00
Th 0.000 0.500 0.000  0.03
Tm 0.329 0.136 0.658  0.19
Th 0.891 0.891 0.783  0.12
Tm 0.671 0.864 0.342  0.19
Sn 0.500 0.206 0.000  0.00
Th 0.109 0.109 0.217  0.12
Tm 0.671 0.478 0.342  0.19

***

2.
Entry from Alexandria via LeMat-Bulk: a relaxed Ho4CdIr crystal (PBE-GGA).

Output
- ΔH_f (0 K) (kJ/mol of formula units) = -308.8

a b c (Å): 9.582 9.582 9.582
angles (deg): 60.00 60.00 60.00
Element x y z (fractional)
Ho 0.060 0.060 0.440
Ho 0.188 0.812 0.812
Ho 0.812 0.188 0.812
Ho 0.599 0.202 0.599
Ho 0.812 0.812 0.188
Ho 0.440 0.060 0.440
Cd 0.831 0.831 0.831
Ir 0.824 0.392 0.392
Ir 0.392 0.824 0.392
Ho 0.599 0.599 0.202
Cd 0.507 0.831 0.831
Ho 0.202 0.599 0.599
Ho 0.060 0.440 0.060
Ir 0.392 0.392 0.392
Ho 0.440 0.440 0.060
Cd 0.831 0.831 0.507
Ho 0.060 0.440 0.440
Ho 0.440 0.060 0.060
Ho 0.188 0.812 0.188
Ho 0.599 0.599 0.599
Cd 0.831 0.507 0.831
Ir 0.392 0.392 0.824
Ho 0.188 0.188 0.812
Ho 0.812 0.188 0.188

***

3.
Entry from Alexandria via LeMat-Bulk: a relaxed Ti5Sb3 crystal (PBE-GGA).

Output
- formation energy without anion corrections (eV per formula unit) = -3.18

a b c (Å): 5.939 5.939 8.838
angles (deg): 90.00 90.00 104.19
Element x y z (fractional)
Sb 0.569 0.569 0.750
Ti 0.492 0.031 0.750
Ti 0.508 0.969 0.250
Sb 0.431 0.431 0.250
Ti 0.017 0.017 0.250
Sb 0.205 0.795 0.000
Sb 0.795 0.205 0.500
Sb 0.205 0.795 0.500
Ti 0.969 0.508 0.250
Ti 0.291 0.291 0.961
Ti 0.709 0.709 0.039
Ti 0.031 0.492 0.750
Ti 0.709 0.709 0.461
Ti 0.291 0.291 0.539
Ti 0.983 0.983 0.750
Sb 0.795 0.205 0.000

***

4.
Entry from Alexandria via LeMat-Bulk: a relaxed Na2BeO crystal (PBE-GGA).

Output
- formation energy without anion corrections (eV per formula unit) = -3.42

a b c (Å): 10.937 10.937 7.875
angles (deg): 46.02 46.02 90.00
Element x y z (fractional)
Na 0.974 0.625 0.250
O 0.000 0.000 0.000
Na 0.776 0.125 0.250
Be 0.250 0.750 0.500
Be 0.500 0.500 0.000
Na 0.375 0.224 0.750
Na 0.875 0.026 0.750
O 0.750 0.250 0.500

***

5.
Entry from Alexandria via LeMat-Bulk: a relaxed Sm6Dy8Y crystal (PBE-GGA).

Output
- ΔH_f (0 K) (kJ/mol of formula units) = 331.0

a b c (Å): 6.539 9.476 9.476
angles (deg): 120.00 90.00 90.00
Element x y z (fractional)
Sm 0.404 0.590 0.679
Dy 0.897 0.329 0.020
Dy 0.103 0.309 0.329
Dy 0.897 0.980 0.309
Dy 0.103 0.671 0.980
Sm 0.404 0.321 0.912
Sm 0.596 0.912 0.590
Dy 0.154 0.667 0.333
Sm 0.596 0.410 0.321
Sm 0.596 0.679 0.088
Y 0.500 0.000 0.000
Dy 0.103 0.020 0.691
Sm 0.404 0.088 0.410
Dy 0.897 0.691 0.671
Dy 0.846 0.333 0.667

***

6.
Entry from Alexandria via LeMat-Bulk: a relaxed CaRe4 crystal (PBE-GGA).

Output
- ΔH_f (0 K) (kJ/mol of formula units) = 1636.9

a b c (Å): 4.471 4.471 4.471
angles (deg): 90.00 90.00 90.00
Site moments in Bohr magnetons follow the coordinates.
Element x y z (fractional)
Ca 0.500 0.500 0.500  -0.01
Re 0.000 0.000 0.000  0.87
Re 0.000 0.500 0.500  -0.07
Re 0.500 0.500 0.000  -0.07
Re 0.500 0.000 0.500  -0.07

***

7.
Entry from Alexandria via LeMat-Bulk: a relaxed KSn2P2 crystal (PBE-GGA).

Output
- ΔH_f (0 K) (kJ/mol of formula units) = 29.6

a b c (Å): 8.184 8.184 3.744
angles (deg): 90.00 90.00 90.00
Element x y z (fractional)
K 0.000 0.000 0.000
P 0.130 0.370 0.000
P 0.370 0.870 0.000
Sn 0.362 0.138 0.500
Sn 0.638 0.862 0.500
K 0.500 0.500 0.000
P 0.630 0.130 0.000
Sn 0.862 0.362 0.500
P 0.870 0.630 0.000
Sn 0.138 0.638 0.500

***

8.
Entry from Alexandria via LeMat-Bulk: a relaxed ScCo2Si crystal (PBE-GGA).

Output
- formation energy without anion corrections (eV per formula unit) = -0.76

a b c (Å): 4.245 4.245 4.245
angles (deg): 60.00 60.00 60.00
Site moments in Bohr magnetons follow the coordinates.
Element x y z (fractional)
Co 0.000 0.000 0.000  1.17
Co 0.250 0.250 0.250  1.60
Sc 0.500 0.500 0.500  -0.05
Si 0.750 0.750 0.750  0.04